Record 1
CoPO2: relaxed, PBE with a Hubbard U.

Properties
Density of states at the Fermi level = 0.639 states/eV/atom
Energy = -5.439 eV/atom

Cell: 6.2203 6.2203 6.2203 Å, 139.84 139.84 58.10°
With the nearest neighbours (Å) after each atom.
Fractional positions:
1 Co 0.0000 0.0000 0.0000  4 O 2.07
2 Co 0.7500 0.2500 0.5000  4 O 2.07
3 P 0.2500 0.7500 0.5000  4 O 2.00
4 P 0.5000 0.5000 0.0000  4 O 2.00
5 O 0.1395 0.6250 0.0145  2 P 2.00, 2 Co 2.07
6 O 0.3750 0.3895 0.5145  2 P 2.00, 2 Co 2.07
7 O 0.6105 0.1250 0.9855  2 P 2.00, 2 Co 2.07
8 O 0.8750 0.8605 0.4855  2 P 2.00, 2 Co 2.07

---

Record 2
CoPO4: relaxed, PBE with a Hubbard U.

Properties
Energy = -6.730 eV/atom

Cell: 10.5457 10.5457 25.2621 Å, 90.00 90.00 120.00°
With the nearest neighbours (Å) after each atom.
Fractional positions:
1 Co 0.1417 0.8306 0.0000  4 O 1.86
2 Co 0.1498 0.3283 0.9961  4 O 1.84-1.87
3 Co 0.1591 0.3459 0.3080  4 O 1.86-1.88
4 Co 0.1694 0.3111 0.6667  4 O 1.86
5 Co 0.1786 0.8502 0.3295  4 O 1.84-1.87
6 Co 0.1868 0.8409 0.6413  4 O 1.86-1.88
7 Co 0.3087 0.6572 0.8595  4 O 1.84-1.86
8 Co 0.3111 0.1417 0.8333  4 O 1.86
9 Co 0.3283 0.1786 0.1628  4 O 1.84-1.87
10 Co 0.3428 0.6515 0.5262  4 O 1.84-1.86
11 Co 0.3459 0.1868 0.4746  4 O 1.86-1.88
12 Co 0.3485 0.6913 0.1929  4 O 1.84-1.86
13 Co 0.6515 0.3087 0.6929  4 O 1.84-1.86
14 Co 0.6541 0.8132 0.9746  4 O 1.86-1.88
15 Co 0.6572 0.3485 0.0262  4 O 1.84-1.86
16 Co 0.6717 0.8214 0.6628  4 O 1.84-1.87
17 Co 0.6889 0.8583 0.3333  4 O 1.86
18 Co 0.6913 0.3428 0.3595  4 O 1.84-1.86
19 Co 0.8132 0.1591 0.1413  4 O 1.86-1.88
20 Co 0.8214 0.1498 0.8295  4 O 1.84-1.87
21 Co 0.8306 0.6889 0.1667  4 O 1.86
22 Co 0.8409 0.6541 0.8080  4 O 1.86-1.88
23 Co 0.8502 0.6717 0.4961  4 O 1.84-1.87
24 Co 0.8583 0.1694 0.5000  4 O 1.86
25 P 0.1288 0.8191 0.8744  4 O 1.55
26 P 0.1404 0.3494 0.1813  4 O 1.54-1.55
27 P 0.1467 0.3095 0.8708  4 O 1.55
28 P 0.1628 0.8533 0.2041  4 O 1.55
29 P 0.1809 0.3097 0.5411  4 O 1.55
30 P 0.2090 0.8596 0.5146  4 O 1.54-1.55
31 P 0.3095 0.1628 0.0374  4 O 1.55
32 P 0.3097 0.1288 0.7078  4 O 1.55
33 P 0.3198 0.6502 0.6574  4 O 1.54-1.55
34 P 0.3304 0.6802 0.9908  4 O 1.54-1.55
35 P 0.3494 0.2090 0.3480  4 O 1.54-1.55
36 P 0.3498 0.6696 0.3241  4 O 1.54-1.55
37 P 0.6502 0.3304 0.8241  4 O 1.54-1.55
38 P 0.6506 0.7910 0.8480  4 O 1.54-1.55
39 P 0.6696 0.3198 0.4908  4 O 1.54-1.55
40 P 0.6802 0.3498 0.1574  4 O 1.54-1.55
41 P 0.6903 0.8712 0.2078  4 O 1.55
42 P 0.6905 0.8372 0.5374  4 O 1.55
43 P 0.7910 0.1404 0.0146  4 O 1.54-1.55
44 P 0.8191 0.6903 0.0411  4 O 1.55
45 P 0.8372 0.1467 0.7041  4 O 1.55
46 P 0.8533 0.6905 0.3708  4 O 1.55
47 P 0.8596 0.6506 0.6813  4 O 1.54-1.55
48 P 0.8712 0.1809 0.3744  4 O 1.55
49 O 0.0020 0.1910 0.3432  1 P 1.55
50 O 0.0076 0.3077 0.1446  1 P 1.55
51 O 0.0186 0.2708 0.5444  1 P 1.55
52 O 0.0198 0.7472 0.3749  1 P 1.55
53 O 0.0282 0.8276 0.1711  1 P 1.55
54 O 0.0448 0.8059 0.5069  1 P 1.54
55 O 0.0812 0.7603 0.9315  1 P 1.55
56 O 0.0946 0.3479 0.2398  1 P 1.55
57 O 0.1119 0.7899 0.2605  1 P 1.55
58 O 0.1724 0.2006 0.8378  1 P 1.55
59 O 0.1817 0.7249 0.8448  1 P 1.55
60 O 0.1890 0.9980 0.6766  1 P 1.55
61 O 0.1910 0.1890 0.5099  1 P 1.55
62 O 0.1941 0.2389 0.1736  1 P 1.54
63 O 0.2006 0.0282 0.0045  1 P 1.55
64 O 0.2070 0.5235 0.0047  1 P 1.55
65 O 0.2101 0.3220 0.9272  1 P 1.55
66 O 0.2098 0.5003 0.6820  1 P 1.55
67 O 0.2233 0.4601 0.8426  1 P 1.55
68 O 0.2293 0.5204 0.3467  1 P 1.55
69 O 0.2368 0.7767 0.1759  1 P 1.55
70 O 0.2389 0.0448 0.3403  1 P 1.54
71 O 0.2397 0.3209 0.5982  1 P 1.55
72 O 0.2418 0.7378 0.4976  1 P 1.55
73 O 0.2522 0.9814 0.8777  1 P 1.55
74 O 0.2528 0.2726 0.0416  1 P 1.55
75 O 0.2533 0.9054 0.5731  1 P 1.55
76 O 0.2622 0.5040 0.1643  1 P 1.55
77 O 0.2708 0.2522 0.7110  1 P 1.55
78 O 0.2726 0.0198 0.2083  1 P 1.55
79 O 0.2751 0.4569 0.5115  1 P 1.55
80 O 0.2905 0.7902 0.0153  1 P 1.55
81 O 0.2911 0.7707 0.6800  1 P 1.55
82 O 0.2935 0.6437 0.5972  1 P 1.54
83 O 0.3001 0.9924 0.4779  1 P 1.55
84 O 0.3077 0.3001 0.3113  1 P 1.55
85 O 0.3165 0.7930 0.3381  1 P 1.55
86 O 0.3209 0.0812 0.7648  1 P 1.55
87 O 0.3220 0.1119 0.0938  1 P 1.55
88 O 0.3479 0.2533 0.4065  1 P 1.55
89 O 0.3501 0.7065 0.9305  1 P 1.54
90 O 0.3563 0.6499 0.2639  1 P 1.54
91 O 0.4569 0.1817 0.6781  1 P 1.55
92 O 0.4601 0.2368 0.0092  1 P 1.55
93 O 0.4765 0.6835 0.6714  1 P 1.55
94 O 0.4796 0.7089 0.0133  1 P 1.55
95 O 0.4960 0.7582 0.8310  1 P 1.55
96 O 0.5003 0.2905 0.8487  1 P 1.55
97 O 0.4997 0.7095 0.3487  1 P 1.55
98 O 0.5040 0.2418 0.3310  1 P 1.55
99 O 0.5204 0.2911 0.5133  1 P 1.55
100 O 0.5235 0.3165 0.1714  1 P 1.55
101 O 0.5399 0.7632 0.5092  1 P 1.55
102 O 0.5431 0.8183 0.1781  1 P 1.55
103 O 0.6437 0.3501 0.7639  1 P 1.54
104 O 0.6499 0.2935 0.4305  1 P 1.54
105 O 0.6521 0.7467 0.9065  1 P 1.55
106 O 0.6780 0.8881 0.5938  1 P 1.55
107 O 0.6791 0.9188 0.2648  1 P 1.55
108 O 0.6835 0.2070 0.8381  1 P 1.55
109 O 0.6923 0.6999 0.8113  1 P 1.55
110 O 0.6999 0.0076 0.9779  1 P 1.55
111 O 0.7065 0.3563 0.0972  1 P 1.54
112 O 0.7089 0.2293 0.1800  1 P 1.55
113 O 0.7095 0.2098 0.5153  1 P 1.55
114 O 0.7249 0.5431 0.0115  1 P 1.55
115 O 0.7274 0.9802 0.7083  1 P 1.55
116 O 0.7292 0.7478 0.2110  1 P 1.55
117 O 0.7378 0.4960 0.6643  1 P 1.55
118 O 0.7467 0.0946 0.0731  1 P 1.55
119 O 0.7472 0.7274 0.5416  1 P 1.55
120 O 0.7478 0.0186 0.3777  1 P 1.55
121 O 0.7582 0.2622 0.9976  1 P 1.55
122 O 0.7603 0.6791 0.0982  1 P 1.55
123 O 0.7611 0.9552 0.8403  1 P 1.54
124 O 0.7632 0.2233 0.6759  1 P 1.55
125 O 0.7707 0.4796 0.8467  1 P 1.55
126 O 0.7767 0.5399 0.3426  1 P 1.55
127 O 0.7902 0.4997 0.1820  1 P 1.55
128 O 0.7899 0.6780 0.4272  1 P 1.55
129 O 0.7930 0.4765 0.5047  1 P 1.55
130 O 0.7994 0.9718 0.5045  1 P 1.55
131 O 0.8059 0.7611 0.6736  1 P 1.54
132 O 0.8090 0.8110 0.0099  1 P 1.55
133 O 0.8110 0.0020 0.1766  1 P 1.55
134 O 0.8183 0.2751 0.3448  1 P 1.55
135 O 0.8276 0.7994 0.3378  1 P 1.55
136 O 0.8881 0.2101 0.7605  1 P 1.55
137 O 0.9054 0.6521 0.7398  1 P 1.55
138 O 0.9188 0.2397 0.4315  1 P 1.55
139 O 0.9552 0.1941 0.0069  1 P 1.54
140 O 0.9718 0.1724 0.6711  1 P 1.55
141 O 0.9802 0.2528 0.8749  1 P 1.55
142 O 0.9814 0.7292 0.0444  1 P 1.55
143 O 0.9924 0.6923 0.6446  1 P 1.55
144 O 0.9980 0.8090 0.8432  1 P 1.55

---

Record 3
CoPO4: relaxed, PBE with a Hubbard U.

Properties
Energy = -6.686 eV/atom

Cell: 6.0581 9.9859 10.0314 Å, 90.00 95.03 90.00°
With the nearest neighbours (Å) after each atom.
Fractional positions:
1 Co 0.1240 0.0636 0.2676  4 O 1.86-1.93
2 Co 0.1240 0.4364 0.7676  4 O 1.86-1.93
3 Co 0.3588 0.6385 0.5134  4 O 1.87-1.96
4 Co 0.3588 0.8615 0.0134  4 O 1.87-1.96
5 Co 0.6412 0.1385 0.9866  4 O 1.87-1.96
6 Co 0.6412 0.3615 0.4866  4 O 1.87-1.96
7 Co 0.8760 0.5636 0.2324  4 O 1.86-1.93
8 Co 0.8760 0.9364 0.7324  4 O 1.86-1.93
9 P 0.1283 0.1718 0.9719  4 O 1.52-1.58
10 P 0.1283 0.3282 0.4719  4 O 1.52-1.58
11 P 0.3694 0.5960 0.2060  4 O 1.53-1.56
12 P 0.3694 0.9040 0.7060  4 O 1.53-1.56
13 P 0.6306 0.0960 0.2940  4 O 1.53-1.56
14 P 0.6306 0.4040 0.7940  4 O 1.53-1.56
15 P 0.8717 0.6718 0.5281  4 O 1.52-1.58
16 P 0.8717 0.8282 0.0281  4 O 1.52-1.58
17 O 0.0852 0.6002 0.5962  1 P 1.58
18 O 0.0852 0.8998 0.0962  1 P 1.58
19 O 0.1002 0.1877 0.1228  1 P 1.55
20 O 0.1002 0.3123 0.6228  1 P 1.55
21 O 0.1570 0.5068 0.1975  1 P 1.56
22 O 0.1570 0.9932 0.6975  1 P 1.56
23 O 0.1634 0.1915 0.4115  1 P 1.52
24 O 0.1634 0.3085 0.9115  1 P 1.52
25 O 0.3345 0.0777 0.9546  1 P 1.58
26 O 0.3345 0.4223 0.4546  1 P 1.58
27 O 0.3640 0.6835 0.0806  1 P 1.53
28 O 0.3640 0.8165 0.5806  1 P 1.53
29 O 0.3734 0.6849 0.3341  1 P 1.56
30 O 0.3734 0.8151 0.8341  1 P 1.56
31 O 0.4216 0.0044 0.2825  1 P 1.56
32 O 0.4216 0.4956 0.7825  1 P 1.56
33 O 0.5784 0.5044 0.2175  1 P 1.56
34 O 0.5784 0.9956 0.7175  1 P 1.56
35 O 0.6266 0.1849 0.1659  1 P 1.56
36 O 0.6266 0.3151 0.6659  1 P 1.56
37 O 0.6360 0.1835 0.4194  1 P 1.53
38 O 0.6360 0.3165 0.9194  1 P 1.53
39 O 0.6655 0.5777 0.5454  1 P 1.58
40 O 0.6655 0.9223 0.0454  1 P 1.58
41 O 0.8366 0.6915 0.0885  1 P 1.52
42 O 0.8366 0.8085 0.5885  1 P 1.52
43 O 0.8430 0.0068 0.3025  1 P 1.56
44 O 0.8430 0.4932 0.8025  1 P 1.56
45 O 0.8998 0.6877 0.3772  1 P 1.55
46 O 0.8998 0.8123 0.8772  1 P 1.55
47 O 0.9148 0.1002 0.9038  1 P 1.58
48 O 0.9148 0.3998 0.4038  1 P 1.58

---

Record 4
CoP4O12: relaxed, PBE with a Hubbard U.

Properties
Density of states at the Fermi level = 0.470 states/eV/atom
Energy = -6.839 eV/atom

Cell: 13.0520 8.4505 9.3732 Å, 90.00 90.00 90.00°
With the nearest neighbours (Å) after each atom.
Fractional positions:
1 Co 0.0000 0.1342 0.2500  6 O 1.96-2.02
2 Co 0.0000 0.8658 0.7500  6 O 1.96-2.02
3 Co 0.5000 0.3658 0.7500  6 O 1.96-2.02
4 Co 0.5000 0.6342 0.2500  6 O 1.96-2.02
5 P 0.1466 0.0452 0.5187  4 O 1.50-1.61
6 P 0.1466 0.9548 0.0187  4 O 1.50-1.61
7 P 0.1504 0.3044 0.0181  4 O 1.49-1.61
8 P 0.1504 0.6956 0.5181  4 O 1.49-1.61
9 P 0.3496 0.1956 0.5181  4 O 1.49-1.61
10 P 0.3496 0.8044 0.0181  4 O 1.49-1.61
11 P 0.3534 0.4548 0.0187  4 O 1.50-1.61
12 P 0.3534 0.5452 0.5187  4 O 1.50-1.61
13 P 0.6466 0.4548 0.4813  4 O 1.50-1.61
14 P 0.6466 0.5452 0.9813  4 O 1.50-1.61
15 P 0.6504 0.1956 0.9819  4 O 1.49-1.61
16 P 0.6504 0.8044 0.4819  4 O 1.49-1.61
17 P 0.8496 0.3044 0.4819  4 O 1.49-1.61
18 P 0.8496 0.6956 0.9819  4 O 1.49-1.61
19 P 0.8534 0.0452 0.9813  4 O 1.50-1.61
20 P 0.8534 0.9548 0.4813  4 O 1.50-1.61
21 O 0.0675 0.0329 0.6354  1 P 1.51
22 O 0.0675 0.9671 0.1354  1 P 1.51
23 O 0.0735 0.2943 0.1394  1 P 1.52
24 O 0.0735 0.7057 0.6394  1 P 1.52
25 O 0.1170 0.3955 0.8897  1 P 1.49
26 O 0.1170 0.6045 0.3897  1 P 1.49
27 O 0.1192 0.1378 0.3875  1 P 1.50
28 O 0.1192 0.8622 0.8875  1 P 1.50
29 O 0.1868 0.1280 0.9756  2 P 1.61
30 O 0.1868 0.8720 0.4756  2 P 1.61
31 O 0.2468 0.1246 0.5879  2 P 1.61
32 O 0.2468 0.8754 0.0879  2 P 1.61
33 O 0.2532 0.3754 0.0879  2 P 1.61
34 O 0.2532 0.6246 0.5879  2 P 1.61
35 O 0.3132 0.3720 0.4756  2 P 1.61
36 O 0.3132 0.6280 0.9756  2 P 1.61
37 O 0.3808 0.3622 0.8875  1 P 1.50
38 O 0.3808 0.6378 0.3875  1 P 1.50
39 O 0.3830 0.1045 0.3897  1 P 1.49
40 O 0.3830 0.8955 0.8897  1 P 1.49
41 O 0.4265 0.2057 0.6394  1 P 1.52
42 O 0.4265 0.7943 0.1394  1 P 1.52
43 O 0.4325 0.4671 0.1354  1 P 1.51
44 O 0.4325 0.5329 0.6354  1 P 1.51
45 O 0.5675 0.4671 0.3646  1 P 1.51
46 O 0.5675 0.5329 0.8646  1 P 1.51
47 O 0.5735 0.2057 0.8606  1 P 1.52
48 O 0.5735 0.7943 0.3606  1 P 1.52
49 O 0.6170 0.1045 0.1103  1 P 1.49
50 O 0.6170 0.8955 0.6103  1 P 1.49
51 O 0.6192 0.3622 0.6125  1 P 1.50
52 O 0.6192 0.6378 0.1125  1 P 1.50
53 O 0.6868 0.3720 0.0244  2 P 1.61
54 O 0.6868 0.6280 0.5244  2 P 1.61
55 O 0.7468 0.3754 0.4121  2 P 1.61
56 O 0.7468 0.6246 0.9121  2 P 1.61
57 O 0.7532 0.1246 0.9121  2 P 1.61
58 O 0.7532 0.8754 0.4121  2 P 1.61
59 O 0.8132 0.1280 0.5244  2 P 1.61
60 O 0.8132 0.8720 0.0244  2 P 1.61
61 O 0.8808 0.1378 0.1125  1 P 1.50
62 O 0.8808 0.8622 0.6125  1 P 1.50
63 O 0.8830 0.3955 0.6103  1 P 1.49
64 O 0.8830 0.6045 0.1103  1 P 1.49
65 O 0.9265 0.2943 0.3606  1 P 1.52
66 O 0.9265 0.7057 0.8606  1 P 1.52
67 O 0.9325 0.0329 0.8646  1 P 1.51
68 O 0.9325 0.9671 0.3646  1 P 1.51